# 1
This record from the Alexandria database describes NaEu3Cu after structural relaxation. The functional is GGA-PBE.

Cell and atoms, written as CIF:
```
data_NaEu3Cu
_chemical_formula_sum 'Na1 Eu3 Cu1'
_symmetry_space_group_name_H-M 'P m -3 m'
_symmetry_Int_Tables_number 221
_symmetry_space_group_name_Hall '-P 4 2 3'
_cell_length_a 5.846
_cell_length_b 5.846
_cell_length_c 5.846
_cell_angle_alpha 90.00
_cell_angle_beta 90.00
_cell_angle_gamma 90.00
loop_
_atom_site_label
_atom_site_type_symbol
_atom_site_fract_x
_atom_site_fract_y
_atom_site_fract_z
Na1 Na 0.000 0.000 0.000
Eu1 Eu 0.000 0.500 0.500
Cu1 Cu 0.500 0.500 0.500
```

Properties
E ... -36.04 eV per formula unit
N(E_F) ... 30.72 states/eV per cell
Magnetization ... 4.422 μB per atom

---

# 2
This record from the Alexandria database describes Hf4NbZn3 after structural relaxation. The functional is GGA-PBE.

Cell and atoms, written as CIF:
```
data_Hf4NbZn3
_chemical_formula_sum 'Hf4 Nb1 Zn3'
_symmetry_space_group_name_H-M 'P 4/m m m'
_symmetry_Int_Tables_number 123
_symmetry_space_group_name_Hall '-P 4 2'
_cell_length_a 3.356
_cell_length_b 3.356
_cell_length_c 13.267
_cell_angle_alpha 90.00
_cell_angle_beta 90.00
_cell_angle_gamma 90.00
loop_
_atom_site_label
_atom_site_type_symbol
_atom_site_fract_x
_atom_site_fract_y
_atom_site_fract_z
Hf1 Hf 0.000 0.000 0.123
Hf2 Hf 0.000 0.000 0.371
Nb1 Nb 0.500 0.500 0.500
Zn1 Zn 0.500 0.500 0.000
Zn2 Zn 0.500 0.500 0.245
```

Properties
E ... -54.86 eV per formula unit
N(E_F) ... 5.94 states/eV per cell
Magnetization ... 0.000 μB per atom

---

# 3
This record from the Alexandria database describes PmNd12Ni6 after structural relaxation. The functional is GGA-PBE.

Cell and atoms, written as CIF:
```
data_PmNd12Ni6
_chemical_formula_sum 'Pm2 Nd24 Ni12'
_symmetry_space_group_name_H-M 'I m -3'
_symmetry_Int_Tables_number 204
_symmetry_space_group_name_Hall '-I 2 2 3'
_cell_length_a 10.168
_cell_length_b 10.168
_cell_length_c 10.168
_cell_angle_alpha 90.00
_cell_angle_beta 90.00
_cell_angle_gamma 90.00
loop_
_atom_site_label
_atom_site_type_symbol
_atom_site_fract_x
_atom_site_fract_y
_atom_site_fract_z
Pm1 Pm 0.000 0.000 0.000
Nd1 Nd 0.000 0.312 0.185
Ni1 Ni 0.000 0.121 0.500
```

Properties
E ... -99.92 eV per formula unit
N(E_F) ... 49.64 states/eV per cell
Magnetization ... 0.000 μB per atom

---

Question: Look up the E of the third one.
Answer: -99.92 eV per formula unit

---

Question: N(E_F) of number 3 (PmNd12Ni6)?
Answer: 49.64 states/eV per cell

---

Question: Among the records above, which one has the highest magnetization?
Answer: NaEu3Cu

---

Question: What is the formula in the second record?
Answer: Hf4NbZn3